# Mg2Mn2ZnO6 (PBE with a Hubbard U, optimized geometry)
data_Mg2Mn2ZnO6
_chemical_formula_sum 'Mg4 Mn4 Zn2 O12'
_space_group_name_H-M_alt 'C 1 2/m 1'
_space_group_IT_number 12
_cell_length_a 5.092
_cell_length_b 9.098
_cell_length_c 5.145
_cell_angle_alpha 90.00
_cell_angle_beta 108.89
_cell_angle_gamma 90.00
loop_
_space_group_symop_operation_xyz
'x,y,z'
'-x,-y,-z'
'-x,y,-z'
'x,-y,z'
'x+1/2,y+1/2,z'
'-x+1/2,-y+1/2,-z'
'-x+1/2,y+1/2,-z'
'x+1/2,-y+1/2,z'
loop_
_atom_site_label
_atom_site_fract_x
_atom_site_fract_y
_atom_site_fract_z
_atom_site_occupancy
Mg1 0.000 0.165 0.000 1
Mn1 0.000 0.337 0.500 1
Zn1 0.000 0.000 0.500 1
O1 0.238 0.187 0.732 1
O2 0.245 0.500 0.729 1
# size of the total moment: 8.00 Bohr magnetons per cell
# electronic total energy: -6.17 eV/atom